A plane-wave DFT calculation with PBE was carried out for a relaxed structure of RbCd2Pt3.

Calculated values
- ΔH_f (0 K) (eV per formula unit) = 0.03
- calculated total energy (eV per atom) = -3.4813

Geometry as CIF:
```
data_RbCd2Pt3
_chemical_formula_sum 'Rb4 Cd8 Pt12'
_symmetry_space_group_name_H-M 'C m c m'
_symmetry_Int_Tables_number 63
_symmetry_space_group_name_Hall '-C 2c 2'
_cell_length_a 10.572
_cell_length_b 8.504
_cell_length_c 6.018
_cell_angle_alpha 90.00
_cell_angle_beta 90.00
_cell_angle_gamma 90.00
loop_
_atom_site_label
_atom_site_type_symbol
_atom_site_fract_x
_atom_site_fract_y
_atom_site_fract_z
Rb1 Rb 0.000 0.161 0.250
Cd1 Cd 0.225 0.500 0.000
Pt1 Pt 0.000 0.476 0.750
Pt2 Pt 0.134 0.212 0.750
```